Entry from Alexandria: a geometry-optimized TiMn6O12 structure (PBE with a Hubbard U).

Cell: 5.9280 5.9280 5.9280 Å, 99.50 99.50 99.50°
Each line ends with the local moment (μB).
Fractional coordinates of all 19 atoms:
Ti (0.0000, 0.0000, 0.0000)  0.15
Mn (0.1305, 0.3179, 0.6067)  3.90
Mn (0.6821, 0.3933, 0.8695)  3.90
Mn (0.3933, 0.8695, 0.6821)  3.90
Mn (0.8695, 0.6821, 0.3933)  3.90
Mn (0.3179, 0.6067, 0.1305)  3.90
Mn (0.6067, 0.1305, 0.3179)  3.90
O (0.4027, 0.1780, 0.5890)  -0.19
O (0.1780, 0.5890, 0.4027)  -0.19
O (0.5890, 0.4027, 0.1780)  -0.19
O (0.5973, 0.8220, 0.4110)  -0.19
O (0.8220, 0.4110, 0.5973)  -0.19
O (0.4110, 0.5973, 0.8220)  -0.19
O (0.0523, 0.8834, 0.6879)  -0.14
O (0.3121, 0.9477, 0.1166)  -0.14
O (0.1166, 0.3121, 0.9477)  -0.14
O (0.9477, 0.1166, 0.3121)  -0.14
O (0.6879, 0.0523, 0.8834)  -0.14
O (0.8834, 0.6879, 0.0523)  -0.14

Computed properties:
- space group = R-3
- total energy (eV per cell) = -143.42
- total magnetic moment (μB per formula unit) = 22.00